1.
# GGA-PBEsol Y2FeAu, optimized geometry
# Crystal system = tetragonal
# Uncorrected energy = -27.65 eV/cell
data_Y2FeAu
_chemical_formula_sum 'Y2 Fe1 Au1'
_cell_length_a 4.880
_cell_length_b 4.880
_cell_length_c 3.464
_cell_angle_alpha 90.00
_cell_angle_beta 90.00
_cell_angle_gamma 90.00
_symmetry_space_group_name_H-M 'P 4/m m m'
_symmetry_Int_Tables_number 123
_symmetry_space_group_name_Hall '-P 4 2'
loop_
_atom_site_label
_atom_site_type_symbol
_atom_site_fract_x
_atom_site_fract_y
_atom_site_fract_z
Y1 Y 0.000 0.500 0.000
Fe1 Fe 0.000 0.000 0.500
Au1 Au 0.500 0.500 0.500



2.
# GGA-PBEsol LiFeP2Au, optimized geometry
# Crystal system = tetragonal
# Uncorrected energy = -21.98 eV/cell
data_LiFeP2Au
_chemical_formula_sum 'Li1 Fe1 P2 Au1'
_cell_length_a 4.169
_cell_length_b 4.169
_cell_length_c 4.453
_cell_angle_alpha 90.00
_cell_angle_beta 90.00
_cell_angle_gamma 90.00
_symmetry_space_group_name_H-M 'P 4/m m m'
_symmetry_Int_Tables_number 123
_symmetry_space_group_name_Hall '-P 4 2'
loop_
_atom_site_label
_atom_site_type_symbol
_atom_site_fract_x
_atom_site_fract_y
_atom_site_fract_z
Li1 Li 0.000 0.000 0.000
Fe1 Fe 0.500 0.500 0.500
P1 P 0.000 0.500 0.000
Au1 Au 0.000 0.000 0.500